No. 1
Material: BaTl2Ru
Method: DFT, SCAN
State: PBEsol geometry

Output
Calculated density, Mg/m³: 11.1
Space-group type: No. 123
Final energy, eV per atom: -54.644
E_form, kJ/mol of formula units: 50
Total moment, μB/cell: 0.00
Crystal system: tetragonal

```
BaTl2Ru
1.0
3.434 0.000 0.396
0.000 3.461 0.000
-0.925 0.000 8.023
Tl Ru Ba
2 1 1
direct
0.000 0.000 0.311 Tl
0.000 0.000 0.689 Tl
0.500 0.500 0.500 Ru
0.500 0.500 0.000 Ba
```

***

No. 2
Material: SrLaTl2
Method: DFT, SCAN
State: PBEsol geometry

Output
Calculated density, Mg/m³: 8.0
Space-group type: No. 99
Final energy, eV per atom: -52.805
E_form, kJ/mol of formula units: -108
Total moment, μB/cell: 0.00
Crystal system: tetragonal

```
SrLaTl2
1.0
4.334 0.000 0.000
0.000 4.334 0.000
0.000 0.000 7.009
Tl La Sr
2 1 1
direct
0.000 0.000 0.996 Tl
0.500 0.500 0.262 Tl
0.000 0.000 0.453 La
0.500 0.500 0.788 Sr
```

***

No. 3
Material: RuSN2O
Method: DFT, SCAN
State: PBEsol geometry

Output
Calculated density, Mg/m³: 6.7
Space-group type: No. 123
Final energy, eV per atom: -12.305
Total moment, μB/cell: 0.00
Crystal system: tetragonal
Raw formation energy, kJ/mol of atoms: 149

```
RuSN2O
1.0
3.453 0.000 0.000
0.000 3.575 0.000
0.000 0.000 3.575
O N Ru S
1 2 1 1
direct
0.500 0.000 0.000 O
0.000 0.500 0.000 N
0.000 0.000 0.500 N
0.500 0.500 0.500 Ru
0.000 0.000 0.000 S
```

***

No. 4
Material: TiAlCl2
Method: DFT, SCAN
State: PBEsol geometry

Output
Calculated density, Mg/m³: 3.7
Space-group type: No. 225
Final energy, eV per atom: -10.089
Total moment, μB/cell: 0.00
Crystal system: cubic
Raw formation energy, kJ/mol of atoms: -15

```
TiAlCl2
1.0
-3.155 -0.610 3.195
0.475 -3.318 3.050
0.925 1.009 4.320
Cl Ti Al
2 1 1
direct
0.750 0.750 0.750 Cl
0.250 0.250 0.250 Cl
0.500 0.500 0.500 Ti
0.000 0.000 0.000 Al
```

***

No. 5
Material: K3Rh
Method: DFT, SCAN
State: PBEsol geometry

Output
Calculated density, Mg/m³: 2.3
Space-group type: No. 187
Final energy, eV per atom: -13.975
E_form, kJ/mol of formula units: 276
Total moment, μB/cell: 0.52
Crystal system: hexagonal

```
K3Rh
1.0
3.809 0.000 0.000
-1.905 3.299 0.000
0.000 0.000 12.618
K Rh
3 1
direct
0.333 0.667 0.000 K
0.000 0.000 0.670 K
0.000 0.000 0.330 K
0.333 0.667 0.500 Rh
```

***

No. 6
Material: TlAsPbAu2
Method: DFT, SCAN
State: PBEsol geometry

Output
Calculated density, Mg/m³: 9.7
Space-group type: No. 123
Final energy, eV per atom: -60.747
E_form, kJ/mol of formula units: 281
Total moment, μB/cell: 0.00
Crystal system: tetragonal

```
TlAsPbAu2
1.0
-0.181 5.224 -0.554
-1.514 0.479 5.011
5.202 0.344 1.538
Au Pb As Tl
2 1 1 1
direct
0.000 0.500 0.000 Au
0.500 0.000 0.000 Au
0.000 0.000 0.000 Pb
0.000 0.000 0.500 As
0.500 0.500 0.500 Tl
```